RbCa3Ag, relaxed, DFT PBE; distance to the lowest polymorph of the same formula = 0 meV per atom; total DFT energy (no corrections) = -1.9731 eV per atom; space group = Pm-3m, No. 221; crystal system = cubic; energy of formation = -0.04 eV/f.u.
1.0
6.034 0.000 0.000
0.000 6.034 0.000
0.000 0.000 6.034
Ag Ca Rb
1 3 1
direct
0.000 0.000 0.000
0.500 0.000 0.000
0.000 0.500 0.000
0.000 0.000 0.500
0.500 0.500 0.500

RbCaAg2, relaxed, DFT PBE; distance to the lowest polymorph of the same formula = 165 meV per atom; total DFT energy (no corrections) = -2.1122 eV per atom; space group = Fm-3m, No. 225; crystal system = cubic; energy of formation = 0.22 eV/f.u.
1.0
0.000 3.964 3.964
3.964 0.000 3.964
3.964 3.964 0.000
Ag Rb Ca
2 1 1
direct
0.750 0.750 0.750
0.250 0.250 0.250
0.500 0.500 0.500
0.000 0.000 0.000

RbCa2Ag, relaxed, DFT PBE; distance to the lowest polymorph of the same formula = 331 meV per atom; total DFT energy (no corrections) = -1.6730 eV per atom; space group = I-42d, No. 122; crystal system = tetragonal; energy of formation = 1.13 eV/f.u.
1.0
8.597 0.000 0.000
0.000 8.597 0.000
4.299 4.299 7.187
Ag Ca Rb
2 4 2
direct
0.750 0.250 0.500
0.000 0.000 0.000
0.886 0.625 0.250
0.375 0.136 0.750
0.864 0.125 0.250
0.875 0.114 0.750
0.250 0.750 0.500
0.500 0.500 0.000